Record 1
Ac2PuCo2 | PBE-GGA | optimized geometry

The space group is C2/m (No. 12) and the conventional cell measures 12.9246, 4.1547 and 11.1519 Å, with angles of 90.00, 120.79 and 90.00 degrees. The inequivalent atoms are Ac at (0.0220, 0.0000, 0.1875), Ac at (0.1712, 0.0000, 0.5888), Pu at (0.2214, 0.5000, 0.8718), Co at (0.0266, 0.5000, 0.6196) and Co at (0.1243, 0.5000, 0.0550).

The total magnetization is 18.3 μB/cell. The calculation puts the energy at -7.3333 eV per atom.


Record 2
GeHW3 | PBE-GGA | optimized geometry

The space group is Pm-3m (No. 221) and the conventional cell measures 4.0352, 4.0352 and 4.0352 Å, with angles of 90.00, 90.00 and 90.00 degrees. The inequivalent atoms are Ge at (0.0000, 0.0000, 0.0000), H at (0.5000, 0.5000, 0.5000) and W at (0.0000, 0.5000, 0.5000).

The total magnetization is 0.0 μB/cell. The calculation puts the energy at -8.8963 eV per atom.


Record 3
PmNdZn10 | PBE-GGA | optimized geometry

The space group is Pmmm (No. 47) and the conventional cell measures 4.2492, 5.3795 and 9.3206 Å, with angles of 90.00, 90.00 and 90.00 degrees. The inequivalent atoms are Pm at (0.0000, 0.0000, 0.0000), Nd at (0.0000, 0.5000, 0.5000), Zn at (0.0000, 0.0000, 0.3324), Zn at (0.0000, 0.5000, 0.1658), Zn at (0.5000, 0.0000, 0.5000), Zn at (0.5000, 0.2495, 0.2492) and Zn at (0.5000, 0.5000, 0.0000).

The total magnetization is 0.0 μB/cell. The calculation puts the energy at -2.1523 eV per atom.


Record 4
Te5Rh | PBE-GGA | optimized geometry

The space group is Cmmm (No. 65) and the conventional cell measures 4.0960, 14.4208 and 5.9841 Å, with angles of 90.00, 90.00 and 90.00 degrees. The inequivalent atoms are Te at (0.0000, 0.0000, 0.0000), Te at (0.0000, 0.3422, 0.0000), Te at (0.0000, 0.3795, 0.5000) and Rh at (0.0000, 0.0000, 0.5000).

The total magnetization is 0.0 μB/cell. The formation energy (no corrections) comes out at -0.121 eV per atom. The calculation puts the energy at -3.9638 eV per atom.


Record 5
Na3Pm3SnSe8 | PBE-GGA | optimized geometry

The space group is R-3m (No. 166, hexagonal axes) and the conventional cell measures 8.3950, 8.3950 and 21.2685 Å, with angles of 90.00, 90.00 and 120.00 degrees. The inequivalent atoms are Na at (0.0000, 0.5000, 0.0000), Pm at (0.0000, 0.5000, 0.5000), Sn at (0.0000, 0.0000, 0.5000), Se at (0.0000, 0.0000, 0.2443) and Se at (0.0202, 0.5101, 0.2420).

The total magnetization is 0.0 μB/cell. The formation energy (no corrections) comes out at -1.391 eV per atom. The calculation puts the energy at -4.7304 eV per atom.


Record 6
YTm14Sc | PBE-GGA | optimized geometry

The space group is Amm2 (No. 38) and the conventional cell measures 11.2317, 6.9976 and 12.1184 Å, with angles of 90.00, 90.00 and 90.00 degrees. The inequivalent atoms are Y at (0.0000, 0.0000, 0.0000), Tm at (0.0000, 0.2487, 0.2492), Tm at (0.2467, 0.0000, 0.6652), Tm at (0.2486, 0.2482, 0.4164), Tm at (0.2525, 0.0000, 0.1665), Tm at (0.5000, 0.0000, 0.3335), Tm at (0.5000, 0.0000, 0.8328), Tm at (0.5000, 0.2491, 0.5828) and Sc at (0.0000, 0.0000, 0.4991).

The total magnetization is 0.0 μB/cell. The calculation puts the energy at -4.6976 eV per atom.